a:
This record from Alexandria describes an optimized crystal structure of LaAsSe2O. The functional is PBE.

CIF file:
```
data_LaAsSe2O
_cell_length_a 5.766
_cell_length_b 5.766
_cell_length_c 6.129
_cell_angle_alpha 90.00
_cell_angle_beta 90.00
_cell_angle_gamma 90.00
_symmetry_space_group_name_H-M 'P 4/m m m'
_symmetry_Int_Tables_number 123
_symmetry_space_group_name_Hall '-P 4 2'
loop_
_atom_site_label
_atom_site_fract_x
_atom_site_fract_y
_atom_site_fract_z
La1 0.000 0.000 0.000
As1 0.000 0.000 0.500
Se1 0.000 0.500 0.000
O1 0.500 0.500 0.500
```

b:
This record from Alexandria describes an optimized crystal structure of LaAsSe2O. The functional is PBE.

CIF file:
```
data_LaAsSe2O
_cell_length_a 4.712
_cell_length_b 4.712
_cell_length_c 4.461
_cell_angle_alpha 90.00
_cell_angle_beta 90.00
_cell_angle_gamma 90.00
_symmetry_space_group_name_H-M 'P 4/m m m'
_symmetry_Int_Tables_number 123
_symmetry_space_group_name_Hall '-P 4 2'
loop_
_atom_site_label
_atom_site_fract_x
_atom_site_fract_y
_atom_site_fract_z
La1 0.000 0.000 0.000
As1 0.500 0.500 0.000
Se1 0.000 0.500 0.500
O1 0.500 0.500 0.500
```

Name the least stable of them. a.

a:
This record from Alexandria describes an optimized crystal structure of LaAs3Os. The functional is PBE.

CIF file:
```
data_LaAs3Os
_cell_length_a 4.885
_cell_length_b 4.885
_cell_length_c 4.885
_cell_angle_alpha 90.00
_cell_angle_beta 90.00
_cell_angle_gamma 90.00
_symmetry_space_group_name_H-M 'P m -3 m'
_symmetry_Int_Tables_number 221
_symmetry_space_group_name_Hall '-P 4 2 3'
loop_
_atom_site_label
_atom_site_fract_x
_atom_site_fract_y
_atom_site_fract_z
La1 0.000 0.000 0.000
As1 0.000 0.500 0.500
Os1 0.500 0.500 0.500
```

b:
This record from Alexandria describes an optimized crystal structure of LaAs3Os. The functional is PBE.

CIF file:
```
data_LaAs3Os
_cell_length_a 5.373
_cell_length_b 5.373
_cell_length_c 5.373
_cell_angle_alpha 90.00
_cell_angle_beta 90.00
_cell_angle_gamma 90.00
_symmetry_space_group_name_H-M 'P m -3 m'
_symmetry_Int_Tables_number 221
_symmetry_space_group_name_Hall '-P 4 2 3'
loop_
_atom_site_label
_atom_site_fract_x
_atom_site_fract_y
_atom_site_fract_z
La1 0.000 0.000 0.000
As1 0.000 0.000 0.500
Os1 0.500 0.500 0.500
```

Name the least stable of them. b.

a:
This record from Alexandria describes an optimized crystal structure of LaAsOs3. The functional is PBE.

CIF file:
```
data_LaAsOs3
_cell_length_a 4.858
_cell_length_b 4.858
_cell_length_c 4.858
_cell_angle_alpha 90.00
_cell_angle_beta 90.00
_cell_angle_gamma 90.00
_symmetry_space_group_name_H-M 'P m -3 m'
_symmetry_Int_Tables_number 221
_symmetry_space_group_name_Hall '-P 4 2 3'
loop_
_atom_site_label
_atom_site_fract_x
_atom_site_fract_y
_atom_site_fract_z
La1 0.000 0.000 0.000
As1 0.500 0.500 0.500
Os1 0.000 0.000 0.500
```

b:
This record from Alexandria describes an optimized crystal structure of LaAsOs3. The functional is PBE.

CIF file:
```
data_LaAsOs3
_cell_length_a 4.637
_cell_length_b 4.637
_cell_length_c 4.637
_cell_angle_alpha 90.00
_cell_angle_beta 90.00
_cell_angle_gamma 90.00
_symmetry_space_group_name_H-M 'P m -3 m'
_symmetry_Int_Tables_number 221
_symmetry_space_group_name_Hall '-P 4 2 3'
loop_
_atom_site_label
_atom_site_fract_x
_atom_site_fract_y
_atom_site_fract_z
La1 0.000 0.000 0.000
As1 0.500 0.500 0.500
Os1 0.000 0.500 0.500
```

Name the least stable of them. a.